[1]
First-principles (PBEsol) data for a relaxed BaBi2Pd2 crystal, as listed in Alexandria via LeMat-Bulk.

Geometry as CIF:
```
data_BaBi2Pd2
_cell_length_a 4.912
_cell_length_b 4.832
_cell_length_c 10.826
_cell_angle_alpha 90.00
_cell_angle_beta 91.50
_cell_angle_gamma 90.00
_space_group_name_H-M_alt 'P 1 21/m 1'
_space_group_IT_number 11
_space_group_name_Hall '-P 2yb'
loop_
_atom_site_label
_atom_site_type_symbol
_atom_site_fract_x
_atom_site_fract_y
_atom_site_fract_z
_atom_site_occupancy
Ba1 Ba 0.241 0.250 0.241 1
Bi1 Bi 0.252 0.750 0.498 1
Bi2 Bi 0.289 0.250 0.881 1
Pd1 Pd 0.193 0.750 0.999 1
Pd2 Pd 0.252 0.250 0.627 1
```

Values from the calculation:
The calculation puts the formation energy at -3.25 eV per formula unit. The calculation puts the calculated density at 9931 kg/m³. Its electronic total energy is -5.177 eV per atom.

---

[2]
First-principles (PBEsol) data for a relaxed BaBi3Pd crystal, as listed in Alexandria via LeMat-Bulk.

Geometry as CIF:
```
data_BaBi3Pd
_cell_length_a 5.444
_cell_length_b 5.444
_cell_length_c 5.444
_cell_angle_alpha 90.00
_cell_angle_beta 90.00
_cell_angle_gamma 90.00
_space_group_name_H-M_alt 'P m -3 m'
_space_group_IT_number 221
_space_group_name_Hall '-P 4 2 3'
loop_
_atom_site_label
_atom_site_type_symbol
_atom_site_fract_x
_atom_site_fract_y
_atom_site_fract_z
_atom_site_occupancy
Ba1 Ba 0.000 0.000 0.000 1
Bi1 Bi 0.000 0.500 0.500 1
Pd1 Pd 0.500 0.500 0.500 1
```

Values from the calculation:
The calculation puts the formation energy at -1.55 eV per formula unit. The calculation puts the calculated density at 8960 kg/m³. Its electronic total energy is -4.503 eV per atom.

---

[3]
First-principles (PBEsol) data for a relaxed BaBi2Pt2 crystal, as listed in Alexandria via LeMat-Bulk.

Geometry as CIF:
```
data_BaBi2Pt2
_cell_length_a 4.921
_cell_length_b 4.921
_cell_length_c 11.122
_cell_angle_alpha 90.00
_cell_angle_beta 90.00
_cell_angle_gamma 90.00
_space_group_name_H-M_alt 'I 4/m m m'
_space_group_IT_number 139
_space_group_name_Hall '-I 4 2'
loop_
_atom_site_label
_atom_site_type_symbol
_atom_site_fract_x
_atom_site_fract_y
_atom_site_fract_z
_atom_site_occupancy
Ba1 Ba 0.000 0.000 0.000 1
Bi1 Bi 0.000 0.000 0.358 1
Pt1 Pt 0.000 0.500 0.250 1
```

Values from the calculation:
The calculation puts the formation energy at -2.46 eV per formula unit. The calculation puts the calculated density at 11658 kg/m³. Its electronic total energy is -5.421 eV per atom.

---

[4]
First-principles (PBEsol) data for a relaxed Ba3BiPt crystal, as listed in Alexandria via LeMat-Bulk.

Geometry as CIF:
```
data_Ba3BiPt
_cell_length_a 6.480
_cell_length_b 6.480
_cell_length_c 6.480
_cell_angle_alpha 90.00
_cell_angle_beta 90.00
_cell_angle_gamma 90.00
_space_group_name_H-M_alt 'P m -3 m'
_space_group_IT_number 221
_space_group_name_Hall '-P 4 2 3'
loop_
_atom_site_label
_atom_site_type_symbol
_atom_site_fract_x
_atom_site_fract_y
_atom_site_fract_z
_atom_site_occupancy
Ba1 Ba 0.000 0.000 0.500 1
Bi1 Bi 0.000 0.000 0.000 1
Pt1 Pt 0.500 0.500 0.500 1
```

Values from the calculation:
The calculation puts the formation energy at 0.94 eV per formula unit. The calculation puts the calculated density at 4980 kg/m³. Its electronic total energy is -3.352 eV per atom.

---

- Among the records above, which one has the lowest calculated density?
  Ba3BiPt

---

- Which of these has the lowest electronic total energy?
  BaBi2Pt2

---

- Among the records above, which one has the highest electronic total energy?
  Ba3BiPt